[1]
Below is a PBEsol-optimized structure of KZn2Ru2, with properties calculated at the meta-GGA SCAN level.

```
KZn2Ru2
1.0
3.7255 0.0000 0.0000
0.0000 3.7255 0.0000
-1.8627 -1.8627 6.3350
Ru Zn K
2 2 1
Direct
0.2500 0.7500 0.5000
0.7500 0.2500 0.5000
0.3932 0.3932 0.7865
0.6068 0.6068 0.2135
0.0000 0.0000 0.0000
```

Values from the calculation:
- symmetry = I4/mmm, No. 139
- final energy (eV per atom) = -20.484
- calculated volume (Å³/f.u.) = 87.9
- ΔE_f (eV/atom) = 0.5180


[2]
Below is a PBEsol-optimized structure of Hf3GePt, with properties calculated at the meta-GGA SCAN level.

```
Hf3GePt
1.0
4.9688 0.0000 0.0000
0.0000 4.9688 0.0000
0.0000 0.0000 4.9688
Ge Hf Pt
1 3 1
Direct
0.5000 0.5000 0.5000
0.0000 0.5000 0.0000
0.0000 0.0000 0.5000
0.5000 0.0000 0.0000
0.0000 0.0000 0.0000
```

Values from the calculation:
- symmetry = Pm-3m, No. 221
- final energy (eV per atom) = -55.393
- calculated volume (Å³/f.u.) = 122.7
- ΔE_f (eV/atom) = 0.0668


[3]
Below is a PBEsol-optimized structure of YNb3I, with properties calculated at the meta-GGA SCAN level.

```
YNb3I
1.0
-2.6959 -2.1316 3.6223
-0.3676 -4.1674 -2.7259
4.1868 -1.7384 2.0931
I Y Nb
1 1 3
Direct
0.5000 0.5000 0.5000
0.0000 0.0000 0.0000
0.0000 0.5000 0.0000
0.0000 0.0000 0.5000
0.5000 0.0000 0.0000
```

Values from the calculation:
- symmetry = Pm-3m, No. 221
- final energy (eV per atom) = -30.630
- calculated volume (Å³/f.u.) = 124.5


[4]
Below is a PBEsol-optimized structure of AlTl3Tc, with properties calculated at the meta-GGA SCAN level.

```
AlTl3Tc
1.0
5.2285 0.0000 0.0000
0.0000 5.2285 0.0000
0.0000 0.0000 5.2285
Tl Tc Al
3 1 1
Direct
0.0000 0.5000 0.0000
0.0000 0.0000 0.5000
0.5000 0.0000 0.0000
0.0000 0.0000 0.0000
0.5000 0.5000 0.5000
```

Values from the calculation:
- symmetry = Pm-3m, No. 221
- final energy (eV per atom) = -51.288
- calculated volume (Å³/f.u.) = 142.9
- polymorph energy (0 for the lowest one) (eV/atom) = 0.000
- ΔE_f (eV/atom) = 0.6894


[5]
Below is a PBEsol-optimized structure of CaHgW2, with properties calculated at the meta-GGA SCAN level.

```
CaHgW2
1.0
-2.3759 -3.9363 0.9568
1.9920 -4.1862 -0.7502
1.2690 -2.6827 3.6397
Ca Hg W
1 1 2
Direct
0.5000 0.5000 0.5000
0.2500 0.2500 0.2500
0.0000 0.0000 0.0000
0.7500 0.7500 0.7500
```

Values from the calculation:
- symmetry = F-43m, No. 216
- final energy (eV per atom) = -53.491
- calculated volume (Å³/f.u.) = 73.2
- ΔE_f (eV/atom) = 0.8102


[6]
Below is a PBEsol-optimized structure of CrPtSe2, with properties calculated at the meta-GGA SCAN level.

```
CrPtSe2
1.0
-2.1878 0.2083 -1.7516
0.6232 -2.5195 -1.0780
-5.0823 -3.7806 5.8982
Cr Pt Se
1 1 2
Direct
0.0000 0.0000 0.5056
0.5000 0.5000 0.7068
0.0000 0.0000 0.9494
0.5000 0.5000 0.3383
```

Values from the calculation:
- symmetry = P4mm, No. 99
- final energy (eV per atom) = -32.147
- calculated volume (Å³/f.u.) = 68.4
- polymorph energy (0 for the lowest one) (eV/atom) = 0.413